The following is a GGA-PBE calculation of a geometry-optimized ZrFeCl structure, from the Alexandria database.

a b c (Å): 7.262 7.262 7.262
angles (deg): 155.68 155.68 34.66
Element x y z (fractional)
Zr: 0.000 0.000 0.000
Fe: 0.628 0.628 0.000
Cl: 0.372 0.372 0.000

Results
DFT total energy ... -6.408 eV per atom
Total magnetic moment ... 2.4 μB/f.u.
Calculated density ... 4.7 g cm⁻³
DOS(E_F) ... 4.20 states/eV/f.u.
Calculated volume ... 21.6 Å³/atom